[1]
Entry from the Alexandria database: a relaxed structure of KSmW2O8 (GGA-PBEsol).

Total DFT energy (no corrections), eV per atom: -8.859
Space-group type: C2/c (15)
DOS at the Fermi energy, states/eV/cell: 0.00
Magnetic moment, μB/f.u.: 0.000
ΔE_f (raw), eV per atom: -2.540

abc: 7.5185 7.5185 7.5179
angles: 117.65 117.65 89.10
Atoms (fractional coordinates):
1 K 0.2046 0.7954 0.7500
2 K 0.7954 0.2046 0.2500
3 Sm 0.2283 0.7717 0.2500
4 Sm 0.7717 0.2283 0.7500
5 W 0.3026 0.3061 0.2667
6 W 0.3061 0.3026 0.7667
7 W 0.6939 0.6974 0.2333
8 W 0.6974 0.6939 0.7333
9 O 0.0457 0.2075 0.6837
10 O 0.0696 0.3870 0.1302
11 O 0.2075 0.0457 0.1837
12 O 0.2398 0.3788 0.5522
13 O 0.3689 0.5845 0.0240
14 O 0.3788 0.2398 0.0522
15 O 0.3870 0.0696 0.6302
16 O 0.4155 0.6311 0.4760
17 O 0.5845 0.3689 0.5240
18 O 0.6130 0.9304 0.3698
19 O 0.6212 0.7602 0.9478
20 O 0.6311 0.4155 0.9760
21 O 0.7602 0.6212 0.4478
22 O 0.7925 0.9543 0.8163
23 O 0.9304 0.6130 0.8698
24 O 0.9543 0.7925 0.3163

***

[2]
Entry from the Alexandria database: a relaxed structure of KSmW2O8 (GGA-PBEsol).

Total DFT energy (no corrections), eV per atom: -8.858
Space-group type: C2/m (12)
DOS at the Fermi energy, states/eV/cell: 0.00
Magnetic moment, μB/f.u.: 0.000
ΔE_f (raw), eV per atom: -2.539

abc: 7.3483 7.3483 7.4400
angles: 113.78 113.78 92.88
Atoms (fractional coordinates):
1 K 0.1887 0.1887 0.0263
2 K 0.8113 0.8113 0.9737
3 Sm 0.1947 0.8053 0.5000
4 Sm 0.8053 0.1947 0.5000
5 W 0.2977 0.2977 0.5553
6 W 0.3352 0.6648 0.0000
7 W 0.6648 0.3352 0.0000
8 W 0.7023 0.7023 0.4447
9 O 0.0727 0.0727 0.3920
10 O 0.1514 0.4054 0.7615
11 O 0.1894 0.7212 0.1498
12 O 0.2037 0.4632 0.4354
13 O 0.2788 0.8106 0.8502
14 O 0.4054 0.1514 0.7615
15 O 0.4632 0.2037 0.4354
16 O 0.4831 0.4831 0.1565
17 O 0.5169 0.5169 0.8435
18 O 0.5368 0.7963 0.5646
19 O 0.5946 0.8486 0.2385
20 O 0.7212 0.1894 0.1498
21 O 0.7963 0.5368 0.5646
22 O 0.8106 0.2788 0.8502
23 O 0.8486 0.5946 0.2385
24 O 0.9273 0.9273 0.6080

***

[3]
Entry from the Alexandria database: a relaxed structure of K2SnO2 (GGA-PBEsol).

Total DFT energy (no corrections), eV per atom: -4.827
Space-group type: P-1 (2)
DOS at the Fermi energy, states/eV/cell: 0.00
Magnetic moment, μB/f.u.: 0.000
ΔE_f (raw), eV per atom: -1.422

abc: 7.1651 7.4140 9.8329
angles: 85.42 70.34 61.51
Atoms (fractional coordinates):
1 K 0.0636 0.4549 0.1741
2 K 0.0700 0.9342 0.1858
3 K 0.2418 0.2564 0.4903
4 K 0.3910 0.5736 0.8615
5 K 0.6090 0.4264 0.1385
6 K 0.7582 0.7436 0.5097
7 K 0.9300 0.0658 0.8142
8 K 0.9364 0.5451 0.8259
9 Sn 0.3055 0.7060 0.4725
10 Sn 0.3957 0.0573 0.8747
11 Sn 0.6043 0.9427 0.1253
12 Sn 0.6945 0.2940 0.5275
13 O 0.0633 0.2161 0.9835
14 O 0.1979 0.5981 0.3497
15 O 0.3404 0.4837 0.6250
16 O 0.4947 0.8089 0.0084
17 O 0.5053 0.1911 0.9916
18 O 0.6596 0.5163 0.3750
19 O 0.8021 0.4019 0.6503
20 O 0.9367 0.7839 0.0165

***

[4]
Entry from the Alexandria database: a relaxed structure of K2Sn2O3 (GGA-PBEsol).

Total DFT energy (no corrections), eV per atom: -5.234
Space-group type: R-3m (166)
Magnetic moment, μB/f.u.: 0.000
ΔE_f (raw), eV per atom: -1.444

abc: 5.8403 5.8403 5.8403
angles: 62.08 62.08 62.08
Atoms (fractional coordinates):
1 K 0.0000 0.0000 0.0000
2 K 0.5000 0.5000 0.5000
3 Sn 0.2432 0.2432 0.2432
4 Sn 0.7568 0.7568 0.7568
5 O 0.0000 0.0000 0.5000
6 O 0.0000 0.5000 0.0000
7 O 0.5000 0.0000 0.0000

***

[5]
Entry from the Alexandria database: a relaxed structure of K2SnO3 (GGA-PBEsol).

Total DFT energy (no corrections), eV per atom: -5.344
Space-group type: Pnma (62)
DOS at the Fermi energy, states/eV/cell: 0.00
Magnetic moment, μB/f.u.: 0.070
ΔE_f (raw), eV per atom: -1.632

abc: 5.7676 10.3722 6.9695
angles: 90.00 90.00 90.00
Atoms (fractional coordinates):
1 K 0.2333 0.0872 0.1134
2 K 0.2333 0.4128 0.1134
3 K 0.2667 0.5872 0.6134
4 K 0.2667 0.9128 0.6134
5 K 0.7333 0.0872 0.3866
6 K 0.7333 0.4128 0.3866
7 K 0.7667 0.5872 0.8866
8 K 0.7667 0.9128 0.8866
9 Sn 0.2284 0.7500 0.1586
10 Sn 0.2716 0.2500 0.6586
11 Sn 0.7284 0.7500 0.3414
12 Sn 0.7716 0.2500 0.8414
13 O 0.0099 0.1200 0.7243
14 O 0.0099 0.3800 0.7243
15 O 0.1524 0.7500 0.8873
16 O 0.3476 0.2500 0.3873
17 O 0.4901 0.6200 0.2243
18 O 0.4901 0.8800 0.2243
19 O 0.5099 0.1200 0.7757
20 O 0.5099 0.3800 0.7757
21 O 0.6524 0.7500 0.6127
22 O 0.8476 0.2500 0.1127
23 O 0.9901 0.6200 0.2757
24 O 0.9901 0.8800 0.2757

***

[6]
Entry from the Alexandria database: a relaxed structure of K4SnO3 (GGA-PBEsol).

Total DFT energy (no corrections), eV per atom: -4.418
Space-group type: Pbca (61)
DOS at the Fermi energy, states/eV/cell: 0.00
Magnetic moment, μB/f.u.: 0.000
ΔE_f (raw), eV per atom: -1.350

abc: 6.4569 11.2530 18.7323
angles: 90.00 90.00 90.00
Atoms (fractional coordinates):
1 K 0.0457 0.1141 0.2032
2 K 0.0457 0.3859 0.7032
3 K 0.1243 0.6745 0.6555
4 K 0.1243 0.8255 0.1555
5 K 0.2287 0.1894 0.4435
6 K 0.2287 0.3106 0.9435
7 K 0.2440 0.0551 0.0360
8 K 0.2440 0.4449 0.5360
9 K 0.2560 0.5551 0.0360
10 K 0.2560 0.9449 0.5360
11 K 0.2713 0.6894 0.4435
12 K 0.2713 0.8106 0.9435
13 K 0.3757 0.1745 0.6555
14 K 0.3757 0.3255 0.1555
15 K 0.4543 0.6141 0.2032
16 K 0.4543 0.8859 0.7032
17 K 0.5457 0.1141 0.2968
18 K 0.5457 0.3859 0.7968
19 K 0.6243 0.6745 0.8445
20 K 0.6243 0.8255 0.3445
21 K 0.7287 0.1894 0.0565
22 K 0.7287 0.3106 0.5565
23 K 0.7440 0.0551 0.4640
24 K 0.7440 0.4449 0.9640
25 K 0.7560 0.5551 0.4640
26 K 0.7560 0.9449 0.9640
27 K 0.7713 0.6894 0.0565
28 K 0.7713 0.8106 0.5565
29 K 0.8757 0.1745 0.8445
30 K 0.8757 0.3255 0.3445
31 K 0.9543 0.6141 0.2968
32 K 0.9543 0.8859 0.7968
33 Sn 0.1090 0.5662 0.8500
34 Sn 0.1090 0.9338 0.3500
35 Sn 0.3910 0.0662 0.8500
36 Sn 0.3910 0.4338 0.3500
37 Sn 0.6090 0.5662 0.6500
38 Sn 0.6090 0.9338 0.1500
39 Sn 0.8910 0.0662 0.6500
40 Sn 0.8910 0.4338 0.1500
41 O 0.0408 0.5960 0.1561
42 O 0.0408 0.9040 0.6561
43 O 0.0441 0.1480 0.5667
44 O 0.0441 0.3520 0.0667
45 O 0.1225 0.0172 0.9013
46 O 0.1225 0.4828 0.4013
47 O 0.3775 0.5172 0.9013
48 O 0.3775 0.9828 0.4013
49 O 0.4559 0.6480 0.5667
50 O 0.4559 0.8520 0.0667
51 O 0.4592 0.0960 0.1561
52 O 0.4592 0.4040 0.6561
53 O 0.5408 0.5960 0.3439
54 O 0.5408 0.9040 0.8439
55 O 0.5441 0.1480 0.9333
56 O 0.5441 0.3520 0.4333
57 O 0.6225 0.0172 0.5987
58 O 0.6225 0.4828 0.0987
59 O 0.8775 0.5172 0.5987
60 O 0.8775 0.9828 0.0987
61 O 0.9559 0.6480 0.9333
62 O 0.9559 0.8520 0.4333
63 O 0.9592 0.0960 0.3439
64 O 0.9592 0.4040 0.8439

***

[7]
Entry from the Alexandria database: a relaxed structure of KSnO3 (GGA-PBEsol).

Total DFT energy (no corrections), eV per atom: -3.688
Space-group type: Pm-3m (221)
DOS at the Fermi energy, states/eV/cell: 4.49
Magnetic moment, μB/f.u.: 3.000
ΔE_f (raw), eV per atom: 0.540

abc: 4.4459 4.4459 4.4459
angles: 90.00 90.00 90.00
Atoms (fractional coordinates):
1 K 0.0000 0.0000 0.0000
2 Sn 0.5000 0.5000 0.5000
3 O 0.0000 0.0000 0.5000
4 O 0.0000 0.5000 0.0000
5 O 0.5000 0.0000 0.0000

***

[8]
Entry from the Alexandria database: a relaxed structure of K2Sn2O3 (GGA-PBEsol).

Total DFT energy (no corrections), eV per atom: -5.245
Space-group type: I2_13 (199)
Magnetic moment, μB/f.u.: 0.000
ΔE_f (raw), eV per atom: -1.454

abc: 7.1984 7.1984 7.1984
angles: 109.47 109.47 109.47
Atoms (fractional coordinates):
1 K 0.0000 0.4796 0.5000
2 K 0.0204 0.0204 0.0204
3 K 0.4796 0.5000 0.0000
4 K 0.5000 0.0000 0.4796
5 Sn 0.0000 0.0051 0.5000
6 Sn 0.0051 0.5000 0.0000
7 Sn 0.4949 0.4949 0.4949
8 Sn 0.5000 0.0000 0.0051
9 O 0.2269 0.7500 0.9769
10 O 0.2500 0.5231 0.2731
11 O 0.2731 0.2500 0.5231
12 O 0.5231 0.2731 0.2500
13 O 0.7500 0.9769 0.2269
14 O 0.9769 0.2269 0.7500

***

[9]
Entry from the Alexandria database: a relaxed structure of KTcSn2O (GGA-PBEsol).

Total DFT energy (no corrections), eV per atom: -5.157
Space-group type: P4/mmm (123)
DOS at the Fermi energy, states/eV/cell: 4.33
Magnetic moment, μB/f.u.: 0.301
ΔE_f (raw), eV per atom: 0.076

abc: 5.3169 5.3169 3.7847
angles: 90.00 90.00 90.00
Atoms (fractional coordinates):
1 K 0.0000 0.0000 0.0000
2 Tc 0.5000 0.5000 0.0000
3 Sn 0.0000 0.5000 0.5000
4 Sn 0.5000 0.0000 0.5000
5 O 0.5000 0.5000 0.5000

***

[10]
Entry from the Alexandria database: a relaxed structure of KSr3O (GGA-PBEsol).

Total DFT energy (no corrections), eV per atom: -1.286
Space-group type: Pm-3m (221)
DOS at the Fermi energy, states/eV/cell: 8.60
Magnetic moment, μB/f.u.: 0.660
ΔE_f (raw), eV per atom: 1.095

abc: 7.0007 7.0007 7.0007
angles: 90.00 90.00 90.00
Atoms (fractional coordinates):
1 K 0.0000 0.0000 0.0000
2 Sr 0.0000 0.0000 0.5000
3 Sr 0.0000 0.5000 0.0000
4 Sr 0.5000 0.0000 0.0000
5 O 0.5000 0.5000 0.5000

***

[11]
Entry from the Alexandria database: a relaxed structure of K2SrV4O12 (GGA-PBEsol).

Total DFT energy (no corrections), eV per atom: -8.036
Space-group type: P4/nbm (125)
DOS at the Fermi energy, states/eV/cell: 0.00
Magnetic moment, μB/f.u.: 0.000
ΔE_f (raw), eV per atom: -2.476

abc: 10.8816 10.8816 5.3279
angles: 90.00 90.00 90.00
Atoms (fractional coordinates):
1 K 0.0000 0.0000 0.0000
2 K 0.0000 0.5000 0.0000
3 K 0.5000 0.0000 0.0000
4 K 0.5000 0.5000 0.0000
5 Sr 0.2500 0.2500 0.0000
6 Sr 0.7500 0.7500 0.0000
7 V 0.0299 0.7500 0.5000
8 V 0.2500 0.5299 0.5000
9 V 0.2500 0.9701 0.5000
10 V 0.4701 0.7500 0.5000
11 V 0.5299 0.2500 0.5000
12 V 0.7500 0.0299 0.5000
13 V 0.7500 0.4701 0.5000
14 V 0.9701 0.2500 0.5000
15 O 0.0560 0.2049 0.2620
16 O 0.0560 0.2951 0.7380
17 O 0.1255 0.6255 0.6034
18 O 0.1255 0.8745 0.3966
19 O 0.2049 0.0560 0.7380
20 O 0.2049 0.4440 0.2620
21 O 0.2951 0.0560 0.2620
22 O 0.2951 0.4440 0.7380
23 O 0.3745 0.6255 0.3966
24 O 0.3745 0.8745 0.6034
25 O 0.4440 0.2049 0.7380
26 O 0.4440 0.2951 0.2620
27 O 0.5560 0.7049 0.7380
28 O 0.5560 0.7951 0.2620
29 O 0.6255 0.1255 0.3966
30 O 0.6255 0.3745 0.6034
31 O 0.7049 0.5560 0.2620
32 O 0.7049 0.9440 0.7380
33 O 0.7951 0.5560 0.7380
34 O 0.7951 0.9440 0.2620
35 O 0.8745 0.1255 0.6034
36 O 0.8745 0.3745 0.3966
37 O 0.9440 0.7049 0.2620
38 O 0.9440 0.7951 0.7380

***

[12]
Entry from the Alexandria database: a relaxed structure of KSrVO4 (GGA-PBEsol).

Total DFT energy (no corrections), eV per atom: -7.457
Space-group type: Pnma (62)
DOS at the Fermi energy, states/eV/cell: 0.00
Magnetic moment, μB/f.u.: 0.000
ΔE_f (raw), eV per atom: -2.657

abc: 7.4089 5.7961 9.9275
angles: 90.00 90.00 90.00
Atoms (fractional coordinates):
1 K 0.1531 0.2500 0.0771
2 K 0.3469 0.7500 0.5771
3 K 0.6531 0.2500 0.4229
4 K 0.8469 0.7500 0.9229
5 Sr 0.0004 0.2500 0.6988
6 Sr 0.9996 0.7500 0.3012
7 Sr 0.5004 0.2500 0.8012
8 Sr 0.4996 0.7500 0.1988
9 V 0.2226 0.2500 0.4165
10 V 0.2774 0.7500 0.9165
11 V 0.7226 0.2500 0.0835
12 V 0.7774 0.7500 0.5835
13 O 0.0042 0.7500 0.5619
14 O 0.1810 0.7500 0.0743
15 O 0.2146 0.5063 0.8295
16 O 0.2146 0.9937 0.8295
17 O 0.2854 0.0063 0.3295
18 O 0.2854 0.4937 0.3295
19 O 0.3190 0.2500 0.5743
20 O 0.4958 0.2500 0.0619
21 O 0.5042 0.7500 0.9381
22 O 0.6810 0.7500 0.4257
23 O 0.7146 0.5063 0.6705
24 O 0.7146 0.9937 0.6705
25 O 0.7854 0.0063 0.1705
26 O 0.7854 0.4937 0.1705
27 O 0.8190 0.2500 0.9257
28 O 0.9958 0.2500 0.4381

***

What is the magnetic moment in the fifth record?
0.070 μB/f.u.

***

Which of these has the lowest ΔE_f (raw)?
KSrVO4